Entry 1:
Below is a relaxed PrErTm6 crystal, with properties calculated at the GGA-PBE level.

Structure (extended XYZ):
```
8
Lattice="-5.181 -0.454 -4.208 6.038 -2.102 -1.971 -2.238 -3.220 8.851" Properties=species:S:1:pos:R:3 pbc="T T T"
Er 0.000 0.000 0.000
Tm -3.043 -1.405 -1.014
Pr -0.691 -2.888 1.336
Tm -1.424 -3.210 4.775
Tm 2.683 -2.246 0.128
Tm 1.661 -4.370 3.686
Tm -4.064 -3.529 2.544
Tm 0.043 -2.565 -2.102
```

Calculated values
The value obtained for the density of states at the Fermi level is 16.0 states/eV per cell. The calculation puts the total DFT energy (no corrections) at -4.290 eV/atom. As for the formation energy: 0.2316 eV/atom. Its magnetic moment is 0.0 μB/cell. The value obtained for the relative energy among the computed polymorphs is 19.81 kJ/mol of atoms.


Entry 2:
Below is a relaxed Pr3Er3Tm crystal, with properties calculated at the GGA-PBE level.

Structure (extended XYZ):
```
14
Lattice="-0.484 -3.693 4.409 9.482 0.635 1.572 -6.033 6.070 4.422" Properties=species:S:1:pos:R:3 pbc="T T T"
Er 1.090 3.139 4.638
Tm 4.190 1.523 3.624
Er -1.926 4.810 5.707
Er -2.115 2.057 3.380
Tm -1.224 1.489 6.779
Pr 4.330 4.259 5.931
Pr 7.210 -0.106 2.591
Er 1.875 -0.127 5.765
Pr -1.365 -1.247 4.472
Pr 1.937 2.595 8.053
Pr 1.028 0.417 2.351
Er 5.080 0.954 7.023
Er 4.891 -1.799 4.697
Pr -4.245 3.118 7.812
```

Calculated values
The value obtained for the density of states at the Fermi level is 23.3 states/eV per cell. The calculation puts the total DFT energy (no corrections) at -4.617 eV/atom. As for the formation energy: 0.0258 eV/atom. Its magnetic moment is 0.0 μB/cell. The value obtained for the relative energy among the computed polymorphs is 0.00 kJ/mol of atoms.


Entry 3:
Below is a relaxed PrErTm crystal, with properties calculated at the GGA-PBE level.

Structure (extended XYZ):
```
3
Lattice="3.476 0.000 0.000 0.000 5.665 0.000 0.000 -2.832 4.906" Properties=species:S:1:pos:R:3 pbc="T T T"
Er 0.579 0.000 3.271
Pr 2.317 2.832 1.635
Tm 0.580 0.000 0.000
```

Calculated values
The value obtained for the density of states at the Fermi level is 4.5 states/eV per cell. The calculation puts the total DFT energy (no corrections) at -4.525 eV/atom. As for the formation energy: 0.0796 eV/atom. Its magnetic moment is 0.0 μB/cell. The value obtained for the relative energy among the computed polymorphs is 5.41 kJ/mol of atoms.